Density functional theory data (PBE-GGA) for an optimized crystal structure of Tl2GaSnBr6.

Structure (POSCAR):
```
Tl2GaSnBr6
1.0
7.9432 -0.0129 0.0103
-0.0174 7.9504 0.0188
-3.9487 -3.9501 5.7785
Tl Ga Sn Br
2 1 1 6
Direct
0.8448 0.2743 0.6220 Tl
0.2728 0.8448 0.6207 Tl
0.0001 0.0006 0.0157 Ga
0.5075 0.5079 0.9955 Sn
0.6927 0.6943 0.8701 Br
0.7821 0.7838 0.4633 Br
0.2570 0.2557 0.0267 Br
0.7404 0.2248 0.9643 Br
0.1794 0.1792 0.4574 Br
0.2221 0.7386 0.9622 Br
```

## Properties
Symmetry: P1, No. 1
ΔE_f (raw): -0.739 eV per atom